Record 1
Entry from Alexandria via LeMat-Bulk: crystalline Ac3IrRhPb at its relaxed geometry (PBE-GGA).

a = 9.215 Å, b = 4.298 Å, c = 10.546 Å
α = 90.00°, β = 112.19°, γ = 90.00°
Element x y z (fractional)
Ac (0.154, 0.250, 0.138)
Ac (0.232, 0.750, 0.479)
Ac (0.283, 0.750, 0.863)
Ac (0.717, 0.250, 0.137)
Ac (0.768, 0.250, 0.521)
Ac (0.846, 0.750, 0.862)
Ir (0.048, 0.250, 0.820)
Ir (0.952, 0.750, 0.180)
Rh (0.000, 0.250, 0.393)
Rh (0.000, 0.750, 0.607)
Pb (0.484, 0.750, 0.261)
Pb (0.516, 0.250, 0.739)

## Properties
As for the formation energy: -295 kJ/mol of formula units. The crystal system is monoclinic.

---

Record 2
Entry from Alexandria via LeMat-Bulk: crystalline Ac2BPt5 at its relaxed geometry (PBE-GGA).

a = 5.898 Å, b = 5.898 Å, c = 9.697 Å
α = 90.00°, β = 90.00°, γ = 90.00°
Element x y z (fractional)
Ac (0.000, 0.500, 0.000)
Ac (0.000, 0.500, 0.500)
Ac (0.500, 0.000, 0.000)
Ac (0.500, 0.000, 0.500)
B (0.000, 0.000, 0.172)
B (0.500, 0.500, 0.672)
Pt (0.000, 0.000, 0.947)
Pt (0.249, 0.249, 0.247)
Pt (0.249, 0.751, 0.247)
Pt (0.251, 0.251, 0.747)
Pt (0.251, 0.749, 0.747)
Pt (0.500, 0.500, 0.447)
Pt (0.749, 0.251, 0.747)
Pt (0.749, 0.749, 0.747)
Pt (0.751, 0.249, 0.247)
Pt (0.751, 0.751, 0.247)

## Properties
As for the formation energy: -670 kJ/mol of formula units. The crystal system is tetragonal.

---

Record 3
Entry from Alexandria via LeMat-Bulk: crystalline BaTaOs at its relaxed geometry (PBE-GGA).

a = 6.609 Å, b = 6.609 Å, c = 6.609 Å
α = 90.00°, β = 90.00°, γ = 90.00°
Element x y z (fractional)
Ba (0.000, 0.000, 0.000)
Ba (0.000, 0.500, 0.500)
Ba (0.500, 0.000, 0.500)
Ba (0.500, 0.500, 0.000)
Ta (0.250, 0.250, 0.750)
Ta (0.250, 0.750, 0.250)
Ta (0.750, 0.250, 0.250)
Ta (0.750, 0.750, 0.750)
Os (0.250, 0.250, 0.250)
Os (0.250, 0.750, 0.750)
Os (0.750, 0.250, 0.750)
Os (0.750, 0.750, 0.250)

## Properties
The value obtained for the offset from the most stable computed form is 2083 meV per atom. As for the formation energy: 726 kJ/mol of formula units. The crystal system is cubic.

---

Record 4
Entry from Alexandria via LeMat-Bulk: crystalline AcTmFe at its relaxed geometry (PBE-GGA).

a = 7.344 Å, b = 7.344 Å, c = 7.427 Å
α = 90.00°, β = 90.00°, γ = 122.57°
Element x y z (fractional)
Ac (0.197, 0.803, 0.887)
Ac (0.303, 0.697, 0.387)
Ac (0.697, 0.303, 0.613)
Ac (0.803, 0.197, 0.113)
Tm (0.213, 0.287, 0.750)
Tm (0.287, 0.213, 0.250)
Tm (0.713, 0.787, 0.750)
Tm (0.787, 0.713, 0.250)
Fe (0.084, 0.916, 0.539)
Fe (0.416, 0.584, 0.039)
Fe (0.584, 0.416, 0.961)
Fe (0.916, 0.084, 0.461)

## Properties
As for the formation energy: 21 kJ/mol of formula units. The crystal system is orthorhombic.

---

Record 5
Entry from Alexandria via LeMat-Bulk: crystalline Tl2CrMo at its relaxed geometry (PBE-GGA).

a = 6.927 Å, b = 6.927 Å, c = 6.927 Å
α = 90.00°, β = 90.00°, γ = 90.00°
Element x y z (fractional)
Tl (0.000, 0.000, 0.000)
Tl (0.000, 0.500, 0.500)
Tl (0.250, 0.250, 0.250)
Tl (0.250, 0.750, 0.750)
Tl (0.500, 0.000, 0.500)
Tl (0.500, 0.500, 0.000)
Tl (0.750, 0.250, 0.750)
Tl (0.750, 0.750, 0.250)
Cr (0.250, 0.250, 0.750)
Cr (0.250, 0.750, 0.250)
Cr (0.750, 0.250, 0.250)
Cr (0.750, 0.750, 0.750)
Mo (0.000, 0.000, 0.500)
Mo (0.000, 0.500, 0.000)
Mo (0.500, 0.000, 0.000)
Mo (0.500, 0.500, 0.500)

## Properties
The value obtained for the offset from the most stable computed form is 446 meV per atom. As for the formation energy: 365 kJ/mol of formula units. The crystal system is cubic.

---

Record 6
Entry from Alexandria via LeMat-Bulk: crystalline La2TlCd2 at its relaxed geometry (PBE-GGA).

a = 8.502 Å, b = 8.502 Å, c = 4.206 Å
α = 90.00°, β = 90.00°, γ = 90.00°
Element x y z (fractional)
La (0.174, 0.326, 0.000)
La (0.326, 0.826, 0.000)
La (0.674, 0.174, 0.000)
La (0.826, 0.674, 0.000)
Tl (0.000, 0.000, 0.500)
Tl (0.500, 0.500, 0.500)
Cd (0.123, 0.623, 0.500)
Cd (0.377, 0.123, 0.500)
Cd (0.623, 0.877, 0.500)
Cd (0.877, 0.377, 0.500)

## Properties
The value obtained for the offset from the most stable computed form is 45 meV per atom. As for the formation energy: -134 kJ/mol of formula units. The crystal system is tetragonal.

---

Total DFT energy (no corrections)
In order: -70.60 -104.09 -69.91 -67.31 -85.63 -30.89
Unit: eV for the cell shown